(1)
An optimized crystal structure of Pm5ZnTe3, computed with PBE-GGA.

POSCAR file:
```
Pm5ZnTe3
1.0
9.420 0.000 0.000
-4.710 8.158 0.000
0.000 0.000 6.399
Pm Zn Te
10 2 6
Cartesian
-1.261 2.185 1.600 Pm
-3.449 5.973 4.799 Pm
2.523 0.000 1.600 Pm
1.261 2.185 4.799 Pm
0.000 5.439 0.000 Pm
0.000 5.439 3.200 Pm
4.710 2.719 0.000 Pm
4.710 2.719 3.200 Pm
6.897 0.000 4.799 Pm
3.449 5.973 1.600 Pm
0.000 0.000 0.000 Zn
0.000 0.000 3.200 Zn
-1.801 3.119 4.799 Te
-2.909 5.039 1.600 Te
3.601 0.000 4.799 Te
1.801 3.119 1.600 Te
5.818 0.000 1.600 Te
2.909 5.039 4.799 Te
```

DOS(E_F) = 16.4 states/eV/cell
uncorrected formation energy = -0.98 eV per atom

=====

(2)
An optimized crystal structure of Li2Ni7Ge3, computed with PBE-GGA.

POSCAR file:
```
Li2Ni7Ge3
1.0
2.663 0.000 0.000
0.000 4.522 0.000
0.000 0.000 12.212
Li Ni Ge
2 7 3
Cartesian
0.000 0.000 2.202 Li
0.000 0.000 10.011 Li
0.000 1.102 0.000 Ni
0.000 2.261 3.822 Ni
0.000 2.261 8.390 Ni
0.000 3.420 0.000 Ni
1.331 0.000 4.229 Ni
1.331 0.000 7.983 Ni
1.331 2.261 6.106 Ni
0.000 0.000 6.106 Ge
1.331 2.261 1.759 Ge
1.331 2.261 10.453 Ge
```

DOS(E_F) = 9.9 states/eV/cell
E_form = -57 meV/atom

=====

(3)
An optimized crystal structure of Sr2LiW, computed with PBE-GGA.

POSCAR file:
```
Sr2LiW
1.0
3.245 0.000 0.000
0.000 3.250 0.000
-0.018 0.000 10.700
Sr Li W
2 1 1
Cartesian
0.001 0.000 2.375 Sr
3.225 0.000 8.324 Sr
1.613 1.625 5.350 Li
1.622 1.625 0.000 W
```

offset from the most stable computed form = 0.00 eV/f.u.
DOS(E_F) = 3.3 states/eV/cell
E_form = 895 meV/atom

=====

(4)
An optimized crystal structure of Nd3SmS4, computed with PBE-GGA.

POSCAR file:
```
Nd3SmS4
1.0
7.050 0.000 0.000
0.000 8.046 0.000
-2.341 0.000 6.645
Nd Sm S
6 2 8
Cartesian
-0.585 1.002 1.661 Nd
-1.755 3.013 4.984 Nd
-0.585 5.032 1.661 Nd
-1.755 7.044 4.984 Nd
1.769 1.003 4.984 Nd
2.940 7.042 1.661 Nd
2.940 3.014 1.661 Sm
1.769 5.032 4.984 Sm
1.772 1.022 0.013 S
0.601 7.024 3.336 S
0.618 3.033 3.322 S
-0.552 5.013 6.644 S
5.261 3.033 0.001 S
4.091 5.013 3.323 S
4.108 1.022 3.309 S
2.937 7.024 6.632 S
```

offset from the most stable computed form = 0.00 eV/f.u.
DOS(E_F) = 7.3 states/eV/cell
uncorrected formation energy = -2.03 eV per atom

=====

(5)
An optimized crystal structure of V7CrFe3, computed with PBE-GGA.

POSCAR file:
```
V7CrFe3
1.0
2.575 0.000 0.000
0.000 11.917 0.000
-0.799 0.000 9.141
V Cr Fe
14 2 6
Cartesian
-0.055 2.979 2.603 V
-0.228 1.068 7.340 V
-0.228 4.890 7.340 V
0.109 7.229 4.231 V
0.109 10.646 4.231 V
0.175 7.148 8.495 V
0.175 10.727 8.495 V
1.600 1.189 0.647 V
1.600 4.769 0.647 V
1.667 1.271 4.910 V
1.667 4.687 4.910 V
2.004 7.027 1.802 V
2.004 10.848 1.802 V
1.831 8.938 6.538 V
0.109 8.938 0.564 Cr
1.667 2.979 8.578 Cr
0.872 0.804 2.863 Fe
0.872 5.155 2.863 Fe
0.713 2.979 6.229 Fe
1.063 8.938 2.913 Fe
0.903 6.762 6.279 Fe
0.903 11.113 6.279 Fe
```

DOS(E_F) = 24.9 states/eV/cell
E_form = 89 meV/atom

=====

(6)
An optimized crystal structure of Sc4PbC, computed with PBE-GGA.

POSCAR file:
```
Sc4PbC
1.0
7.232 -2.807 0.000
7.232 2.807 0.000
-1.868 0.000 6.206
Sc Pb C
8 2 2
Cartesian
0.724 0.415 2.687 Sc
-0.210 -0.415 5.790 Sc
2.857 0.298 5.116 Sc
3.791 -0.298 2.013 Sc
8.804 0.298 4.194 Sc
9.738 -0.298 1.091 Sc
12.805 0.415 0.417 Sc
11.870 -0.415 3.520 Sc
6.765 0.527 1.552 Pb
5.830 -0.527 4.655 Pb
2.682 1.403 3.103 C
3.616 -1.403 0.000 C
```

DOS(E_F) = 15.1 states/eV/cell
E_form = -352 meV/atom

=====

(7)
An optimized crystal structure of SmAg2Sn2, computed with PBE-GGA.

POSCAR file:
```
SmAg2Sn2
1.0
2.229 -11.783 0.000
2.229 11.783 0.000
0.000 0.000 4.470
Sm Ag Sn
2 4 4
Cartesian
2.229 8.419 3.353 Sm
2.229 -8.419 1.118 Sm
2.229 10.850 1.118 Ag
2.229 0.933 1.118 Ag
2.229 -0.933 3.353 Ag
2.229 -10.850 3.353 Ag
2.229 5.907 1.118 Sn
2.229 2.821 3.353 Sn
2.229 -2.821 1.118 Sn
2.229 -5.907 3.353 Sn
```

DOS(E_F) = 4.2 states/eV/cell
E_form = -365 meV/atom

=====

(8)
An optimized crystal structure of Hf2ThAg, computed with PBE-GGA.

POSCAR file:
```
Hf2ThAg
1.0
3.392 0.000 0.000
0.000 3.392 0.000
0.000 0.000 8.157
Hf Th Ag
2 1 1
Cartesian
0.000 0.000 1.780 Hf
0.000 0.000 6.376 Hf
1.696 1.696 4.078 Th
1.696 1.696 0.000 Ag
```

DOS(E_F) = 3.4 states/eV/cell
E_form = 81 meV/atom

=====

(9)
An optimized crystal structure of Ga3Bi2Pb2, computed with PBE-GGA.

POSCAR file:
```
Ga3Bi2Pb2
1.0
3.987 0.000 0.000
0.000 28.411 0.000
0.000 0.000 3.346
Ga Bi Pb
6 4 4
Cartesian
0.000 0.000 0.000 Ga
0.000 12.814 1.673 Ga
0.000 15.598 1.673 Ga
1.993 1.392 1.673 Ga
1.993 14.206 0.000 Ga
1.993 27.019 1.673 Ga
0.000 8.326 1.673 Bi
0.000 20.085 1.673 Bi
1.993 5.879 1.673 Bi
1.993 22.532 1.673 Bi
0.000 3.282 0.000 Pb
0.000 25.129 0.000 Pb
1.993 10.923 0.000 Pb
1.993 17.488 0.000 Pb
```

DOS(E_F) = 7.1 states/eV/cell
E_form = 59 meV/atom

=====

(10)
An optimized crystal structure of TaReRu2, computed with PBE-GGA.

POSCAR file:
```
TaReRu2
1.0
4.769 0.000 0.000
0.000 2.808 0.000
-1.601 0.000 4.547
Ta Re Ru
1 1 2
Cartesian
0.000 0.000 0.000 Ta
-0.800 1.404 2.273 Re
1.584 0.000 2.273 Ru
2.384 1.404 0.000 Ru
```

offset from the most stable computed form = 0.36 eV/f.u.
DOS(E_F) = 4.6 states/eV/cell
E_form = -20 meV/atom

=====

(11)
An optimized crystal structure of Tb7Pm12Pr, computed with PBE-GGA.

POSCAR file:
```
Tb7Pm12Pr
1.0
6.724 3.882 4.304
-6.724 3.882 4.304
0.000 -7.764 4.304
Tb Pm Pr
7 12 1
Cartesian
0.000 0.000 0.000 Tb
-2.936 -1.695 5.812 Tb
0.000 -3.390 7.100 Tb
-2.936 1.695 7.100 Tb
2.936 -1.695 5.812 Tb
0.000 3.390 5.812 Tb
2.936 1.695 7.100 Tb
-1.759 -4.717 4.304 Pm
-4.965 0.835 4.304 Pm
0.000 -2.073 2.990 Pm
-1.795 1.036 2.990 Pm
1.759 -4.717 4.304 Pm
-3.206 3.882 4.304 Pm
1.795 1.036 2.990 Pm
-1.795 -1.036 9.921 Pm
4.965 0.835 4.304 Pm
3.206 3.882 4.304 Pm
1.795 -1.036 9.921 Pm
0.000 2.073 9.921 Pm
0.000 0.000 6.456 Pr
```

offset from the most stable computed form = 0.00 eV/f.u.
DOS(E_F) = 37.1 states/eV/cell
E_form = 98 meV/atom

=====

(12)
An optimized crystal structure of Ho3Tm3Co4, computed with PBE-GGA.

POSCAR file:
```
Ho3Tm3Co4
1.0
4.130 0.000 0.000
0.000 5.028 5.035
0.000 -5.028 5.035
Ho Tm Co
3 3 4
Cartesian
0.000 0.000 0.000 Ho
2.065 -2.513 5.827 Ho
2.065 2.513 5.827 Ho
0.000 -1.730 3.309 Tm
0.000 1.730 3.309 Tm
0.000 0.000 6.597 Tm
2.065 0.000 2.200 Co
2.065 0.000 4.456 Co
2.065 -1.131 8.322 Co
2.065 1.131 8.322 Co
```

DOS(E_F) = 6.3 states/eV/cell
E_form = -187 meV/atom